Computed, not measured: an optimized crystal structure of Na2PmGaSe4 at the GGA-PBE level of DFT.

Computed properties:
magnetic moment = 0.0 μB per formula unit
electronic total energy = -133.966 eV per cell
formation energy from raw total energies = -1.142 eV per atom

Structure (CIF):
```
data_Na2PmGaSe4
_chemical_formula_sum 'Na8 Pm4 Ga4 Se16'
_symmetry_space_group_name_H-M 'C 1 2/c 1'
_symmetry_Int_Tables_number 15
_cell_length_a 11.638
_cell_length_b 11.831
_cell_length_c 7.941
_cell_angle_alpha 90.00
_cell_angle_beta 132.92
_cell_angle_gamma 90.00
loop_
_symmetry_equiv_pos_as_xyz
'x,y,z'
'-x,-y,-z'
'-x,y,-z+1/2'
'x,-y,z+1/2'
'x+1/2,y+1/2,z'
'-x+1/2,-y+1/2,-z'
'-x+1/2,y+1/2,-z+1/2'
'x+1/2,-y+1/2,z+1/2'
loop_
_atom_site_label
_atom_site_type_symbol
_atom_site_fract_x
_atom_site_fract_y
_atom_site_fract_z
_atom_site_occupancy
Na1 Na 0.000 0.000 0.000 1
Na2 Na 0.250 0.250 0.000 1
Pm1 Pm 0.250 0.250 0.500 1
Ga1 Ga 0.000 0.500 0.000 1
Se1 Se 0.000 0.255 0.001 1
Se2 Se 0.208 0.500 0.461 1
```


Computed, not measured: an optimized crystal structure of Dy3Ni6As5 at the GGA-PBE level of DFT.

Computed properties:
formation energy = -0.830 eV/atom
magnetic moment = 0.0 μB per formula unit
electronic total energy = -166.713 eV per cell

Structure (CIF):
```
data_Dy3Ni6As5
_chemical_formula_sum 'Dy6 Ni12 As10'
_symmetry_space_group_name_H-M 'P m m n'
_symmetry_Int_Tables_number 59
_cell_length_a 3.938
_cell_length_b 11.952
_cell_length_c 9.550
_cell_angle_alpha 90.00
_cell_angle_beta 90.00
_cell_angle_gamma 90.00
loop_
_symmetry_equiv_pos_as_xyz
'x,y,z'
'-x,-y,-z'
'-x+1/2,-y+1/2,z'
'x+1/2,y+1/2,-z'
'x+1/2,-y,-z'
'-x+1/2,y,z'
'-x,y+1/2,-z'
'x,-y+1/2,z'
loop_
_atom_site_label
_atom_site_type_symbol
_atom_site_fract_x
_atom_site_fract_y
_atom_site_fract_z
_atom_site_occupancy
Dy1 Dy 0.250 0.085 0.250 1
Dy2 Dy 0.250 0.750 0.250 1
Ni1 Ni 0.250 0.068 0.610 1
Ni2 Ni 0.250 0.250 0.488 1
Ni3 Ni 0.250 0.250 0.995 1
Ni4 Ni 0.250 0.580 0.003 1
As1 As 0.250 0.083 0.856 1
As2 As 0.250 0.620 0.518 1
As3 As 0.250 0.750 0.864 1
```


Computed, not measured: an optimized crystal structure of Ca2Pb2Au at the GGA-PBE level of DFT.

Computed properties:
formation energy = -0.135 eV/atom
magnetic moment = 0.0 μB per formula unit
energy above the most stable polymorph in this dataset = 197 kJ/mol of formula units
electronic total energy = -30.748 eV per cell

Structure (CIF):
```
data_Ca2Pb2Au
_chemical_formula_sum 'Ca4 Pb4 Au2'
_symmetry_space_group_name_H-M 'I 4/m m m'
_symmetry_Int_Tables_number 139
_symmetry_space_group_name_Hall '-I 4 2'
_cell_length_a 6.269
_cell_length_b 6.269
_cell_length_c 8.654
_cell_angle_alpha 90.00
_cell_angle_beta 90.00
_cell_angle_gamma 90.00
loop_
_atom_site_label
_atom_site_type_symbol
_atom_site_fract_x
_atom_site_fract_y
_atom_site_fract_z
_atom_site_occupancy
Ca1 Ca 0.000 0.500 0.250 1
Pb1 Pb 0.000 0.000 0.173 1
Au1 Au 0.000 0.000 0.500 1
```


Computed, not measured: an optimized crystal structure of ZrZnAu at the GGA-PBE level of DFT.

Computed properties:
formation energy = -0.364 eV/atom
magnetic moment = 0.0 μB per formula unit
electronic total energy = -28.385 eV per cell

Structure (CIF):
```
data_ZrZnAu
_chemical_formula_sum 'Zr2 Zn2 Au2'
_symmetry_space_group_name_H-M 'I 4 m m'
_symmetry_Int_Tables_number 107
_symmetry_space_group_name_Hall 'I 4 -2'
_cell_length_a 3.210
_cell_length_b 3.210
_cell_length_c 10.620
_cell_angle_alpha 90.00
_cell_angle_beta 90.00
_cell_angle_gamma 90.00
loop_
_atom_site_label
_atom_site_type_symbol
_atom_site_fract_x
_atom_site_fract_y
_atom_site_fract_z
_atom_site_occupancy
Zr1 Zr 0.000 0.000 0.000 1
Zn1 Zn 0.000 0.000 0.326 1
Au1 Au 0.000 0.000 0.681 1
```


Computed, not measured: an optimized crystal structure of LiAc3Pd2Au6 at the GGA-PBE level of DFT.

Computed properties:
formation energy = -0.544 eV/atom
magnetic moment = 0.0 μB per formula unit
electronic total energy = -50.814 eV per cell

Structure (CIF):
```
data_LiAc3Pd2Au6
_chemical_formula_sum 'Li1 Ac3 Pd2 Au6'
_symmetry_space_group_name_H-M 'P -3 m 1'
_symmetry_Int_Tables_number 164
_symmetry_space_group_name_Hall '-P 3 2"'
_cell_length_a 6.4571
_cell_length_b 6.4571
_cell_length_c 8.1920
_cell_angle_alpha 90.00
_cell_angle_beta 90.00
_cell_angle_gamma 120.00
loop_
_atom_site_label
_atom_site_type_symbol
_atom_site_fract_x
_atom_site_fract_y
_atom_site_fract_z
_atom_site_occupancy
Li1 Li 0.0000 0.0000 0.0000 1
Ac1 Ac 0.0000 0.0000 0.5000 1
Ac2 Ac 0.3333 0.6667 0.1594 1
Pd1 Pd 0.3333 0.6667 0.5096 1
Au1 Au 0.1837 0.3674 0.7929 1
```


Computed, not measured: an optimized crystal structure of Li2CeF6 at the GGA-PBE level of DFT.

Computed properties:
magnetic moment = 0.0 μB per formula unit
electronic total energy = -154.023 eV per cell
formation energy from raw total energies = -3.372 eV per atom

Structure (CIF):
```
data_Li2CeF6
_chemical_formula_sum 'Li6 Ce3 F18'
_symmetry_space_group_name_H-M 'P -3 m 1'
_symmetry_Int_Tables_number 164
_symmetry_space_group_name_Hall '-P 3 2"'
_cell_length_a 9.2179
_cell_length_b 9.2179
_cell_length_c 4.8917
_cell_angle_alpha 90.00
_cell_angle_beta 90.00
_cell_angle_gamma 120.00
loop_
_atom_site_label
_atom_site_type_symbol
_atom_site_fract_x
_atom_site_fract_y
_atom_site_fract_z
_atom_site_occupancy
Li1 Li 0.0000 0.3487 0.0000 1
Ce1 Ce 0.0000 0.0000 0.0000 1
Ce2 Ce 0.3333 0.6667 0.4943 1
F1 F 0.1076 0.5538 0.2329 1
F2 F 0.1202 0.2404 0.2063 1
F3 F 0.2242 0.4483 0.7603 1
```


Computed, not measured: an optimized crystal structure of CeSiRhN at the GGA-PBE level of DFT.

Computed properties:
magnetic moment = 0.4 μB per formula unit
electronic total energy = -63.989 eV per cell
formation energy from raw total energies = -1.240 eV per atom

Structure (CIF):
```
data_CeSiRhN
_chemical_formula_sum 'Ce2 Si2 Rh2 N2'
_symmetry_space_group_name_H-M 'P 4/n m m'
_symmetry_Int_Tables_number 129
_cell_length_a 3.945
_cell_length_b 3.945
_cell_length_c 8.130
_cell_angle_alpha 90.00
_cell_angle_beta 90.00
_cell_angle_gamma 90.00
loop_
_symmetry_equiv_pos_as_xyz
'x,y,z'
'-x,-y,-z'
'-y+1/2,x,z'
'y+1/2,-x,-z'
'-x+1/2,-y+1/2,z'
'x+1/2,y+1/2,-z'
'y,-x+1/2,z'
'-y,x+1/2,-z'
'x+1/2,-y,-z'
'-x+1/2,y,z'
'-y,-x,-z'
'y,x,z'
'-x,y+1/2,-z'
'x,-y+1/2,z'
'y+1/2,x+1/2,-z'
'-y+1/2,-x+1/2,z'
loop_
_atom_site_label
_atom_site_type_symbol
_atom_site_fract_x
_atom_site_fract_y
_atom_site_fract_z
_atom_site_occupancy
Ce1 Ce 0.250 0.250 0.159 1
Si1 Si 0.250 0.250 0.660 1
Rh1 Rh 0.250 0.750 0.500 1
N1 N 0.250 0.250 0.878 1
```


Computed, not measured: an optimized crystal structure of ZrFe2Ir at the GGA-PBE level of DFT.

Computed properties:
formation energy = -0.202 eV/atom
magnetic moment = 5.1 μB per formula unit
electronic total energy = -70.284 eV per cell

Structure (CIF):
```
data_ZrFe2Ir
_chemical_formula_sum 'Zr2 Fe4 Ir2'
_symmetry_space_group_name_H-M 'I m m 2'
_symmetry_Int_Tables_number 44
_cell_length_a 3.227
_cell_length_b 4.289
_cell_length_c 8.636
_cell_angle_alpha 90.00
_cell_angle_beta 90.00
_cell_angle_gamma 90.00
loop_
_symmetry_equiv_pos_as_xyz
'x,y,z'
'-x,-y,z'
'-x,y,z'
'x,-y,z'
'x+1/2,y+1/2,z+1/2'
'-x+1/2,-y+1/2,z+1/2'
'-x+1/2,y+1/2,z+1/2'
'x+1/2,-y+1/2,z+1/2'
loop_
_atom_site_label
_atom_site_type_symbol
_atom_site_fract_x
_atom_site_fract_y
_atom_site_fract_z
_atom_site_occupancy
Zr1 Zr 0.000 0.000 0.000 1
Fe1 Fe 0.000 0.000 0.490 1
Fe2 Fe 0.000 0.500 0.760 1
Ir1 Ir 0.000 0.500 0.240 1
```


Computed, not measured: an optimized crystal structure of ScIrOs2 at the GGA-PBE level of DFT.

Computed properties:
formation energy = 0.178 eV/atom
magnetic moment = 0.0 μB per formula unit
energy above the most stable polymorph in this dataset = 137 kJ/mol of formula units
electronic total energy = -110.822 eV per cell

Structure (CIF):
```
data_ScIrOs2
_chemical_formula_sum 'Sc3 Ir3 Os6'
_symmetry_space_group_name_H-M 'R -3 m'
_symmetry_Int_Tables_number 166
_symmetry_space_group_name_Hall '-R 3 2"'
_cell_length_a 2.7885
_cell_length_b 2.7885
_cell_length_c 27.6571
_cell_angle_alpha 90.00
_cell_angle_beta 90.00
_cell_angle_gamma 120.00
loop_
_atom_site_label
_atom_site_type_symbol
_atom_site_fract_x
_atom_site_fract_y
_atom_site_fract_z
_atom_site_occupancy
Sc1 Sc 0.0000 0.0000 0.0000 1
Ir1 Ir 0.0000 0.0000 0.5000 1
Os1 Os 0.0000 0.0000 0.2468 1
```


Computed, not measured: an optimized crystal structure of Sb2TeCCl at the GGA-PBE level of DFT.

Computed properties:
magnetic moment = 0.0 μB per formula unit
energy above the most stable polymorph in this dataset = 0 kJ/mol of formula units
electronic total energy = -17.973 eV per cell
formation energy from raw total energies = 0.897 eV per atom

Structure (CIF):
```
data_Sb2TeCCl
_chemical_formula_sum 'Sb2 Te1 C1 Cl1'
_symmetry_space_group_name_H-M 'P 4/m m m'
_symmetry_Int_Tables_number 123
_symmetry_space_group_name_Hall '-P 4 2'
_cell_length_a 4.867
_cell_length_b 4.867
_cell_length_c 4.881
_cell_angle_alpha 90.00
_cell_angle_beta 90.00
_cell_angle_gamma 90.00
loop_
_atom_site_label
_atom_site_type_symbol
_atom_site_fract_x
_atom_site_fract_y
_atom_site_fract_z
_atom_site_occupancy
Sb1 Sb 0.000 0.500 0.000 1
Te1 Te 0.000 0.000 0.500 1
C1 C 0.000 0.000 0.000 1
Cl1 Cl 0.500 0.500 0.500 1
```


Computed, not measured: an optimized crystal structure of Zn4As2P at the GGA-PBE level of DFT.

Computed properties:
formation energy = -0.081 eV/atom
magnetic moment = 0.0 μB per formula unit
electronic total energy = -81.496 eV per cell

Structure (CIF):
```
data_Zn4As2P
_chemical_formula_sum 'Zn16 As8 P4'
_symmetry_space_group_name_H-M 'I 41/a m d'
_symmetry_Int_Tables_number 141
_cell_length_a 7.426
_cell_length_b 7.426
_cell_length_c 10.454
_cell_angle_alpha 90.00
_cell_angle_beta 90.00
_cell_angle_gamma 90.00
loop_
_symmetry_equiv_pos_as_xyz
'x,y,z'
'-x,-y,-z'
'-y+1/4,x+3/4,z+1/4'
'y+1/4,-x+3/4,-z+1/4'
'-x+1/2,-y,z+1/2'
'x+1/2,y,-z+1/2'
'y+1/4,-x+1/4,z+3/4'
'-y+1/4,x+1/4,-z+3/4'
'x,-y,-z'
'-x,y,z'
'-y+1/4,-x+1/4,-z+3/4'
'y+1/4,x+1/4,z+3/4'
'-x+1/2,y,-z+1/2'
'x+1/2,-y,z+1/2'
'y+1/4,x+3/4,-z+1/4'
'-y+1/4,-x+3/4,z+1/4'
'x+1/2,y+1/2,z+1/2'
'-x+1/2,-y+1/2,-z+1/2'
'-y+3/4,x+1/4,z+3/4'
'y+3/4,-x+1/4,-z+3/4'
'-x,-y+1/2,z'
'x,y+1/2,-z'
'y+3/4,-x+3/4,z+1/4'
'-y+3/4,x+3/4,-z+1/4'
'x+1/2,-y+1/2,-z+1/2'
'-x+1/2,y+1/2,z+1/2'
'-y+3/4,-x+3/4,-z+1/4'
'y+3/4,x+3/4,z+1/4'
'-x,y+1/2,-z'
'x,-y+1/2,z'
'y+3/4,x+1/4,-z+3/4'
'-y+3/4,-x+1/4,z+3/4'
loop_
_atom_site_label
_atom_site_type_symbol
_atom_site_fract_x
_atom_site_fract_y
_atom_site_fract_z
_atom_site_occupancy
Zn1 Zn 0.000 0.008 0.253 1
As1 As 0.000 0.000 0.500 1
P1 P 0.000 0.250 0.875 1
```


Computed, not measured: an optimized crystal structure of Ba6AgPtAu2 at the GGA-PBE level of DFT.

Computed properties:
formation energy = -0.520 eV/atom
magnetic moment = 0.0 μB per formula unit
electronic total energy = -32.179 eV per cell

Structure (CIF):
```
data_Ba6AgPtAu2
_chemical_formula_sum 'Ba6 Ag1 Pt1 Au2'
_symmetry_space_group_name_H-M 'P 1'
_symmetry_Int_Tables_number 1
_cell_length_a 8.185
_cell_length_b 8.187
_cell_length_c 8.995
_cell_angle_alpha 62.94
_cell_angle_beta 62.96
_cell_angle_gamma 60.07
loop_
_symmetry_equiv_pos_as_xyz
'x,y,z'
loop_
_atom_site_label
_atom_site_type_symbol
_atom_site_fract_x
_atom_site_fract_y
_atom_site_fract_z
_atom_site_occupancy
Ba1 Ba 0.000 0.000 0.000 1
Ba2 Ba 0.148 0.524 0.481 1
Ba3 Ba 0.305 0.321 0.000 1
Ba4 Ba 0.473 0.842 0.481 1
Ba5 Ba 0.626 0.696 0.000 1
Ba6 Ba 0.830 0.167 0.481 1
Ag1 Ag 0.728 0.423 0.746 1
Pt1 Pt 0.228 0.923 0.248 1
Au1 Au 0.404 0.099 0.718 1
Au2 Au 0.897 0.591 0.241 1
```


| no. | calculated volume (Å³ per atom) |
| --- | --- |
| 1 | 25.02 |
| 2 | 16.05 |
| 3 | 34.01 |
| 4 | 18.24 |
| 5 | 24.65 |
| 6 | 13.33 |
| 7 | 15.82 |
| 8 | 14.94 |
| 9 | 15.52 |
| 10 | 23.12 |
| 11 | 20.59 |
| 12 | 44.45 |